Record 1
BaSr8Ca5 | PBE-GGA | optimized geometry

Computed properties:
E_tot ... -1.66 eV/atom
Space group ... I-4
Polymorph energy (0 for the lowest one) ... 4 meV per atom
DOS(E_F) ... 16.90 states/eV per cell
Size of the total moment ... 0.000 Bohr magnetons per cell
Energy relative to the elements ... 2.08 eV/f.u.

Cell lengths 9.9354, 9.9354, 9.9354 Å; angles 105.97, 105.97, 116.73 degrees
Closest atoms and distances in Å follow each position.
Element x y z (fractional)
1 Ba 0.0000 0.0000 0.0000  8 Sr 4.14-4.49, 4 Ca 4.33
2 Sr 0.1308 0.0497 0.6098  5 Ca 3.68-4.03
3 Sr 0.4156 0.0584 0.3203  4 Sr 3.88-4.34, 2 Ca 3.92-3.97, 1 Ba 4.14
4 Sr 0.4398 0.5209 0.3902  5 Ca 3.68-4.03
5 Sr 0.4791 0.8692 0.9189  5 Ca 3.68-4.03
6 Sr 0.7380 0.0953 0.6797  4 Sr 3.88-4.34, 2 Ca 3.92-3.97, 1 Ba 4.14
7 Sr 0.9047 0.5844 0.6427  4 Sr 3.88-4.34, 2 Ca 3.92-3.97, 1 Ba 4.14
8 Sr 0.9416 0.2620 0.3573  4 Sr 3.88-4.34, 2 Ca 3.92-3.97, 1 Ba 4.14
9 Sr 0.9503 0.5602 0.0811  5 Ca 3.68-4.03
10 Ca 0.2324 0.4569 0.9477  5 Sr 3.81-4.03, 3 Ca 3.85-3.90
11 Ca 0.2500 0.7500 0.5000  8 Sr 3.68-3.92
12 Ca 0.5092 0.2847 0.0523  5 Sr 3.81-4.03, 3 Ca 3.85-3.90
13 Ca 0.5431 0.4908 0.7755  5 Sr 3.81-4.03, 3 Ca 3.85-3.90
14 Ca 0.7153 0.7676 0.2245  5 Sr 3.81-4.03, 3 Ca 3.85-3.90

=====

Record 2
Ba3Sr9Ca | PBE-GGA | optimized geometry

Computed properties:
E_tot ... -1.75 eV/atom
Space group ... Cc
DOS(E_F) ... 34.49 states/eV per cell
Size of the total moment ... 0.000 Bohr magnetons per cell
Energy relative to the elements ... 0.19 eV/f.u.

Cell lengths 13.3424, 13.3424, 18.6086 Å; angles 122.92, 122.92, 32.20 degrees
Closest atoms and distances in Å follow each position.
Element x y z (fractional)
1 Ba 0.0575 0.3984 0.5406  1 Ca 4.24, 9 Sr 4.24-4.42, 2 Ba 4.34-4.35
2 Ba 0.1622 0.8378 0.5000  11 Sr 4.24-4.35, 1 Ca 4.29
3 Ba 0.3984 0.0575 0.0406  1 Ca 4.24, 9 Sr 4.24-4.42, 2 Ba 4.34-4.35
4 Ba 0.5987 0.9383 0.4591  9 Sr 4.24-4.41, 1 Ca 4.26, 2 Ba 4.34-4.35
5 Ba 0.8378 0.1622 0.0000  11 Sr 4.24-4.35, 1 Ca 4.29
6 Ba 0.9383 0.5987 0.9591  9 Sr 4.24-4.41, 1 Ca 4.26, 2 Ba 4.34-4.35
7 Sr 0.0152 0.6732 0.8058  8 Sr 4.22-4.36, 3 Ba 4.24-4.33, 1 Ca 4.27
8 Sr 0.0954 0.7504 0.6552  9 Sr 4.26-4.37, 3 Ba 4.33-4.37
9 Sr 0.1427 0.4696 0.3814  7 Sr 4.22-4.37, 4 Ba 4.24-4.42, 1 Ca 4.28
10 Sr 0.2106 0.5582 0.2304  9 Sr 4.26-4.32, 3 Ba 4.31-4.36
11 Sr 0.2473 0.9051 0.3421  1 Ca 4.21, 8 Sr 4.22-4.40, 3 Ba 4.28-4.35
12 Sr 0.2964 0.6304 0.0788  8 Sr 4.22-4.36, 1 Ca 4.22, 3 Ba 4.24-4.34
13 Sr 0.3719 0.7036 0.9221  3 Ba 4.24-4.30, 8 Sr 4.27-4.34, 1 Ca 4.32
14 Sr 0.4412 0.7890 0.7675  7 Sr 4.19-4.32, 2 Ca 4.24-4.26, 3 Ba 4.28-4.35
15 Sr 0.4696 0.1427 0.8814  7 Sr 4.22-4.37, 4 Ba 4.24-4.42, 1 Ca 4.28
16 Sr 0.5224 0.8591 0.6185  6 Sr 4.19-4.40, 2 Ca 4.23-4.27, 4 Ba 4.26-4.41
17 Sr 0.5582 0.2106 0.7304  9 Sr 4.26-4.32, 3 Ba 4.31-4.36
18 Sr 0.6304 0.2964 0.5788  8 Sr 4.22-4.36, 1 Ca 4.22, 3 Ba 4.24-4.34
19 Sr 0.6732 0.0152 0.3058  8 Sr 4.22-4.36, 3 Ba 4.24-4.33, 1 Ca 4.27
20 Sr 0.7036 0.3719 0.4221  3 Ba 4.24-4.30, 8 Sr 4.27-4.34, 1 Ca 4.32
21 Sr 0.7504 0.0954 0.1552  9 Sr 4.26-4.37, 3 Ba 4.33-4.37
22 Sr 0.7890 0.4412 0.2675  7 Sr 4.19-4.32, 2 Ca 4.24-4.26, 3 Ba 4.28-4.35
23 Sr 0.8591 0.5224 0.1185  6 Sr 4.19-4.40, 2 Ca 4.23-4.27, 4 Ba 4.26-4.41
24 Sr 0.9051 0.2473 0.8421  1 Ca 4.21, 8 Sr 4.22-4.40, 3 Ba 4.28-4.35
25 Ca 0.3241 0.9809 0.1926  9 Sr 4.21-4.32, 3 Ba 4.24-4.29
26 Ca 0.9809 0.3241 0.6926  9 Sr 4.21-4.32, 3 Ba 4.24-4.29

=====

Record 3
Ba3Sr9Ca2 | PBE-GGA | optimized geometry

Computed properties:
E_tot ... -1.50 eV/atom
Space group ... Immm
DOS(E_F) ... 24.92 states/eV per cell
Size of the total moment ... 1.284 Bohr magnetons per cell
Energy relative to the elements ... 3.87 eV/f.u.

Cell lengths 18.2535, 18.2535, 18.2535 Å; angles 166.74, 141.14, 41.24 degrees
Closest atoms and distances in Å follow each position.
Element x y z (fractional)
1 Ba 0.0000 0.0000 0.0000  4 Ca 3.76
2 Ba 0.3251 0.3251 0.0000  2 Ba 4.22, 8 Sr 4.49-4.69
3 Ba 0.6749 0.6749 0.0000  2 Ba 4.22, 8 Sr 4.49-4.69
4 Sr 0.0406 0.2078 0.8327  7 Sr 4.06-4.22, 1 Ba 4.49
5 Sr 0.0690 0.3954 0.6735  1 Ca 3.71, 2 Sr 4.11
6 Sr 0.2781 0.6046 0.6735  1 Ca 3.71, 2 Sr 4.11
7 Sr 0.3751 0.2078 0.1673  7 Sr 4.06-4.22, 1 Ba 4.49
8 Sr 0.5000 0.0000 0.5000  4 Ca 3.64
9 Sr 0.6249 0.7922 0.8327  7 Sr 4.06-4.22, 1 Ba 4.49
10 Sr 0.7219 0.3954 0.3265  1 Ca 3.71, 2 Sr 4.11
11 Sr 0.9310 0.6046 0.3265  1 Ca 3.71, 2 Sr 4.11
12 Sr 0.9594 0.7922 0.1673  7 Sr 4.06-4.22, 1 Ba 4.49
13 Ca 0.2560 0.5000 0.7560  4 Sr 3.64-3.71, 2 Ba 3.76
14 Ca 0.7440 0.5000 0.2440  4 Sr 3.64-3.71, 2 Ba 3.76

=====

Record 4
Ba2Sr3Ca3 | PBE-GGA | optimized geometry

Computed properties:
E_tot ... -1.81 eV/atom
Space group ... R32
Polymorph energy (0 for the lowest one) ... 29 meV per atom
DOS(E_F) ... 9.61 states/eV per cell
Size of the total moment ... 0.000 Bohr magnetons per cell
Energy relative to the elements ... 0.41 eV/f.u.

Cell lengths 7.5489, 7.5489, 7.5489 Å; angles 94.74, 94.74, 94.74 degrees
Closest atoms and distances in Å follow each position.
Element x y z (fractional)
1 Ba 0.2061 0.2061 0.2061  6 Ca 4.13-4.19, 6 Sr 4.30-4.45
2 Ba 0.7939 0.7939 0.7939  6 Ca 4.13-4.19, 6 Sr 4.30-4.45
3 Sr 0.2542 0.7458 0.5000  4 Ca 3.81-4.20
4 Sr 0.5000 0.2542 0.7458  4 Ca 3.81-4.20
5 Sr 0.7458 0.5000 0.2542  4 Ca 3.81-4.20
6 Ca 0.0000 0.2990 0.7010  4 Sr 3.81-4.20, 2 Ca 4.04, 4 Ba 4.13-4.19
7 Ca 0.2990 0.7010 0.0000  4 Sr 3.81-4.20, 2 Ca 4.04, 4 Ba 4.13-4.19
8 Ca 0.7010 0.0000 0.2990  4 Sr 3.81-4.20, 2 Ca 4.04, 4 Ba 4.13-4.19